Na4PtO4 PBE-GGA relaxed; polymorph energy (0 for the lowest one) = 0 meV per atom; uncorrected formation energy = -1.11 eV/atom; space-group type = C2/m (12); calculated volume = 13.67 A^3/atom; ρ = 4737 kg/m3
1.0
5.4601 -1.6499 0.0000
5.4601 1.6499 0.0000
-4.1518 0.0000 6.8293
Na Pt O
4 1 4
direct
0.1305 0.1305 0.3939
0.2960 0.2960 0.1761
0.7040 0.7040 0.8239
0.8695 0.8695 0.6061
0.5000 0.5000 0.0000
0.0694 0.0694 0.9054
0.3018 0.3018 0.7300
0.6982 0.6982 0.2700
0.9306 0.9306 0.0946